Material: Tb4HoMg2
Method: DFT, PBE
State: optimized geometry

Unit cell a=8.600 b=8.600 c=8.600 alpha=36.91 beta=36.91 gamma=36.91
Fractional positions:
Tb  0.074  0.074  0.074
Tb  0.345  0.345  0.345
Tb  0.655  0.655  0.655
Tb  0.926  0.926  0.926
Ho  0.500  0.500  0.500
Mg  0.211  0.211  0.211
Mg  0.789  0.789  0.789

Polymorph energy (0 for the lowest one) in kJ/mol of formula units: 0.0
Symmetry: R-3m, No. 166
Formation energy from the elements in eV per atom: -0.019
Total magnetization in μB per formula unit: 0.00